#w
First-principles (PBE-GGA) data for a relaxed structure of B5C7, as listed in Alexandria via LeMat-Bulk.

Cell and atoms, written as POSCAR:
```
B5C7
1.0
2.640 0.000 0.000
0.000 4.638 -0.005
0.000 -0.007 6.536
C B
7 5
Direct
0.500 0.495 0.011
0.000 0.002 0.236
0.500 0.500 0.238
0.500 0.845 0.589
0.000 0.323 0.594
0.500 0.163 0.655
0.000 0.002 0.011
0.000 0.665 0.613
0.000 0.668 0.965
0.500 0.173 0.916
0.000 0.334 0.334
0.500 0.830 0.336
```


#x
First-principles (PBE-GGA) data for a relaxed structure of B5C7, as listed in Alexandria via LeMat-Bulk.

Cell and atoms, written as POSCAR:
```
B5C7
1.0
-2.048 1.659 -0.038
-2.180 -2.636 2.362
2.483 3.203 6.012
B C
5 7
Direct
0.500 0.798 0.975
0.000 0.317 0.544
0.000 0.928 0.305
0.500 0.466 0.845
0.500 0.460 0.161
0.500 0.528 0.515
0.000 0.223 0.166
0.000 0.021 0.994
0.500 0.791 0.676
0.000 0.249 0.825
0.000 0.995 0.661
0.500 0.725 0.334
```


List of relative energies, unit meV per atom: #w 0; #x 55